Computed, not measured: crystalline CaCl2 at its relaxed geometry at the PBE level of DFT.

Values from the calculation:
Raw formation energy = -2395 meV per atom
SG = Pbcn (60)

a b c (Å): 6.3386 6.9781 7.7316
angles (deg): 90.00 90.00 90.00
Closest atoms and distances in Å follow each position.
Sites, in units of the cell vectors:
Cl (0.2358, 0.0791, 0.8908)  3 Ca 2.76-2.79
Cl (0.7358, 0.9209, 0.6092)  3 Ca 2.76-2.79
Ca (0.5000, 0.2500, 0.6529)  6 Cl 2.76-2.79
Cl (0.2642, 0.0791, 0.3908)  3 Ca 2.76-2.79
Ca (0.0000, 0.2500, 0.1529)  6 Cl 2.76-2.79
Cl (0.7358, 0.4209, 0.3908)  3 Ca 2.76-2.79
Cl (0.7642, 0.4209, 0.8908)  3 Ca 2.76-2.79
Cl (0.7642, 0.9209, 0.1092)  3 Ca 2.76-2.79
Cl (0.2358, 0.5791, 0.1092)  3 Ca 2.76-2.79
Ca (0.5000, 0.7500, 0.3471)  6 Cl 2.76-2.79
Cl (0.2642, 0.5791, 0.6092)  3 Ca 2.76-2.79
Ca (0.0000, 0.7500, 0.8471)  6 Cl 2.76-2.79